# Pr2MnVO6

Crystalline Pr2MnVO6 at its relaxed geometry (GGA+U, the Alexandria database).

Lattice parameters (Å, degrees): 5.482 5.705 7.791 90.00 90.52 90.00
Site moments in Bohr magnetons follow the coordinates.
Fractional positions:
O 0.210 0.201 0.456  0.00
O 0.914 0.523 0.250  -0.03
O 0.294 0.708 0.455  -0.02
O 0.790 0.799 0.544  0.00
O 0.290 0.701 0.044  0.00
O 0.710 0.299 0.956  0.00
O 0.086 0.477 0.750  -0.03
O 0.414 0.977 0.750  -0.03
O 0.706 0.292 0.545  -0.02
O 0.206 0.208 0.045  -0.02
O 0.794 0.792 0.955  -0.02
O 0.586 0.023 0.250  -0.03
Pr 0.485 0.446 0.251  0.01
Pr 0.985 0.054 0.751  0.01
Pr 0.515 0.554 0.749  0.01
Pr 0.015 0.946 0.249  0.01
V 0.000 0.500 0.500  1.83
V 0.500 0.000 0.000  1.83
Mn 0.000 0.500 0.000  2.03
Mn 0.500 0.000 0.500  2.03

Output
total magnetic moment	3.94	μB per formula unit
SG	P2_1/c, No. 14
D(E_F)	0.00	states/eV per cell
volume	121.8	Å³/f.u.
total DFT energy (no corrections)	-159.00	eV per cell